{
  "formula": "Ho6Tc2Pt",
  "functional": "PBE",
  "state": "relaxed",
  "lattice": [[-4.7115, 4.7708, 4.9129], [4.7115, -4.7708, 4.9129], [4.7115, 4.7708, -4.9129]],
  "species": ["Ho", "Ho", "Ho", "Ho", "Ho", "Ho", "Ho", "Ho", "Ho", "Ho", "Ho", "Ho", "Tc", "Tc", "Tc", "Tc", "Pt", "Pt"],
  "fractional_positions": [[0.0262, 0.8348, 0.1914], [0.2565, 0.3243, 0.5807], [0.2565, 0.6757, 0.9322], [0.2634, 0.5692, 0.3058], [0.2634, 0.9576, 0.6942], [0.3566, 0.1652, 0.1914], [0.6434, 0.8348, 0.8086], [0.7366, 0.0424, 0.3058], [0.7366, 0.4308, 0.6942], [0.7435, 0.3243, 0.0678], [0.7435, 0.6757, 0.4193], [0.9738, 0.1652, 0.8086], [0.0000, 0.1727, 0.1727], [0.0000, 0.8273, 0.8273], [0.3833, 0.3833, 0.0000], [0.6167, 0.6167, 0.0000], [0.0000, 0.5000, 0.5000], [0.5000, 0.0000, 0.5000]],
  "formation_energy_ev_per_atom": -0.3367,
  "spacegroup": "Immm",
  "mass_density_g_cm3": 10.381
}